The following is a DFT calculation (PBE) of a relaxed structure of Dy4Tm5Tl2.

```
Dy4Tm5Tl2
1.0
2.5943 1.4978 15.5035
-2.5943 1.4978 15.5035
0.0000 -2.9957 15.5035
Dy Tm Tl
4 5 2
direct
0.0730 0.0730 0.0730 Dy
0.2250 0.2250 0.2250 Dy
0.7750 0.7750 0.7750 Dy
0.9270 0.9270 0.9270 Dy
0.0000 0.0000 0.0000 Tm
0.1480 0.1480 0.1480 Tm
0.3017 0.3017 0.3017 Tm
0.6983 0.6983 0.6983 Tm
0.8520 0.8520 0.8520 Tm
0.3790 0.3790 0.3790 Tl
0.6210 0.6210 0.6210 Tl
```

Output
The space-group type is R-3m. Its volume is 32.9 Å³/atom. Its energy of formation from the pure elements is 0.26 eV per atom.